[1]
Density functional theory data (PBE) for a geometry-optimized Li2AgPd5 structure.

Values from the calculation:
energy of formation from the pure elements	-0.2419	eV per atom
ρ	9.01	Mg/m³
DOS at the Fermi energy	8.231	states/eV/f.u.

```
Li2AgPd5
1.0
-3.073 -1.783 -1.640
3.421 -2.868 -3.293
0.596 -8.046 7.628
Pd Li Ag
10 4 2
direct
0.000 0.023 0.248
0.000 0.000 0.000
0.500 0.734 0.629
0.500 0.766 0.129
0.000 0.523 0.252
0.000 0.977 0.752
0.000 0.500 0.500
0.500 0.266 0.371
0.500 0.234 0.871
0.000 0.477 0.748
0.500 0.259 0.126
0.500 0.241 0.626
0.500 0.741 0.874
0.500 0.759 0.374
0.000 0.000 0.500
0.000 0.500 0.000
```


[2]
Density functional theory data (PBE) for a geometry-optimized VBP2S structure.

Values from the calculation:
ρ	3.78	Mg/m³
E_form (uncorrected)	79	kJ/mol of atoms
DOS at the Fermi energy	5.911	states/eV/f.u.

```
VBP2S
1.0
-0.060 -3.798 0.829
1.071 -0.813 -3.648
4.357 0.200 1.235
S P B V
1 2 1 1
direct
0.000 0.000 0.500
0.500 0.000 0.000
0.000 0.500 0.000
0.000 0.000 0.000
0.500 0.500 0.500
```


[3]
Density functional theory data (PBE) for a geometry-optimized PmURe4 structure.

Values from the calculation:
energy of formation from the pure elements	0.0975	eV per atom
ρ	16.44	Mg/m³
DOS at the Fermi energy	13.469	states/eV/f.u.

```
PmURe4
1.0
5.442 0.000 0.000
2.721 4.713 0.000
2.721 1.571 4.443
Re U Pm
4 1 1
direct
0.625 0.625 0.625
0.126 0.625 0.625
0.625 0.625 0.126
0.625 0.126 0.625
0.000 0.000 0.000
0.250 0.250 0.250
```


[4]
Density functional theory data (PBE) for a geometry-optimized CuSn2Bi2Pt7 structure.

Values from the calculation:
energy of formation from the pure elements	-0.2074	eV per atom
ρ	14.15	Mg/m³
DOS at the Fermi energy	9.892	states/eV/f.u.

```
CuSn2Bi2Pt7
1.0
-0.488 3.947 0.655
-0.002 -0.668 3.975
14.611 4.072 3.525
Pt Sn Bi Cu
7 2 2 1
direct
0.412 0.912 0.127
0.500 0.500 0.000
0.788 0.788 0.577
0.912 0.412 0.127
0.588 0.088 0.873
0.212 0.212 0.423
0.088 0.588 0.873
0.329 0.329 0.245
0.671 0.671 0.755
0.272 0.272 0.597
0.728 0.728 0.403
0.000 0.000 0.000
```


[5]
Density functional theory data (PBE) for a geometry-optimized NaScAu3 structure.

Values from the calculation:
energy of formation from the pure elements	-0.0034	eV per atom
ρ	7.67	Mg/m³
DOS at the Fermi energy	2.235	states/eV/f.u.

```
NaScAu3
1.0
-1.535 2.556 4.291
-2.671 -4.214 1.555
4.221 -1.736 2.544
Na Au Sc
1 3 1
direct
0.500 0.500 0.500
0.500 0.000 0.000
0.000 0.500 0.000
0.000 0.000 0.500
0.000 0.000 0.000
```


[6]
Density functional theory data (PBE) for a geometry-optimized Ag2AsO structure.

Values from the calculation:
ρ	8.17	Mg/m³
E_form (uncorrected)	37	kJ/mol of atoms
DOS at the Fermi energy	6.201	states/eV/f.u.

```
Ag2AsO
1.0
0.000 3.147 3.147
3.147 0.000 3.147
3.147 3.147 0.000
Ag O As
2 1 1
direct
0.250 0.250 0.250
0.750 0.750 0.750
0.000 0.000 0.000
0.500 0.500 0.500
```